(1)
This record from Alexandria via LeMat-Bulk describes PmPr6In after structural relaxation. The functional is PBE.

extended XYZ file:
```
8
Lattice="5.082 0.000 0.000 0.000 5.082 0.000 0.000 0.000 10.477" Properties=species:S:1:pos:R:3 pbc="T T T"
Pm 0.000 0.000 0.000
Pr 0.000 2.541 2.707
Pr 0.000 2.541 7.769
Pr 2.541 0.000 2.707
Pr 2.541 0.000 7.769
Pr 2.541 2.541 0.000
Pr 2.541 2.541 5.238
In 0.000 0.000 5.238
```

SG	P4/mmm (123)
E_form	-119	meV/atom
DFT total energy	-37.1	eV per cell


(2)
This record from Alexandria via LeMat-Bulk describes Pm6Pr8In after structural relaxation. The functional is PBE.

extended XYZ file:
```
15
Lattice="9.490 0.000 0.000 -4.745 8.219 0.000 0.000 0.000 6.728" Properties=species:S:1:pos:R:3 pbc="T T T"
Pm -2.198 5.345 2.260
Pm 1.215 3.643 2.260
Pm 3.762 0.769 4.468
Pm 0.983 7.449 2.260
Pm 3.530 4.576 4.468
Pm 6.943 2.873 4.468
Pr -3.265 6.334 5.524
Pr 0.893 2.224 5.524
Pr 2.372 0.339 1.205
Pr 0.000 5.479 5.851
Pr 4.745 2.740 0.877
Pr 2.373 7.880 5.524
Pr 3.852 5.995 1.205
Pr 8.010 1.885 1.205
In 0.000 0.000 3.364
```

SG	P-3 (147)
E_form	56	meV/atom
DFT total energy	-68.6	eV per cell